(1)
Below is a relaxed structure of CsZnTc, with properties calculated at the PBE level.

## Properties
energy relative to the elements: 269 kJ/mol of formula units
total magnetic moment: 0.94 Bohr magnetons per cell
DOS(E_F): 0.705 states/eV/atom
total energy: -9.708 eV/cell
excess energy over the best structure of this formula in the dataset: 0.617 eV per atom

Cell lengths 3.6201, 3.6201, 6.0134 Å; angles 90.00, 90.00, 90.00 degrees
With the nearest neighbours (Å) after each atom.
Space group P4/mmm (No. 123)
One atom of each set of equivalent atoms:
Cs  0.0000  0.0000  0.0000  2 Tc 3.01
Zn  0.5000  0.5000  0.5000  4 Tc 2.56
Tc  0.0000  0.0000  0.5000  4 Zn 2.56



(2)
Below is a relaxed structure of AcDy7Y5, with properties calculated at the PBE level.

## Properties
energy relative to the elements: 320 kJ/mol of formula units
total magnetic moment: 0.00 Bohr magnetons per cell
DOS(E_F): 2.055 states/eV/atom
total energy: -130.658 eV/cell

Cell lengths 6.6909, 11.4265, 11.6586 Å; angles 90.00, 90.00, 90.00 degrees
With the nearest neighbours (Å) after each atom.
Space group Imm2 (No. 44)
One atom of each set of equivalent atoms:
Ac  0.0000  0.0000  0.0000  9 Dy 3.73-4.12, 4 Y 4.08
Dy  0.0000  0.0000  0.3984  3 Dy 3.29-3.46
Dy  0.0000  0.0000  0.6803  1 Dy 3.29, 6 Y 3.48-3.56
Dy  0.0000  0.2912  0.4795  5 Y 3.38-3.47, 4 Dy 3.41-3.71
Dy  0.0000  0.3483  0.9803  4 Dy 3.47-3.82, 5 Y 3.55-3.73
Dy  0.0000  0.5000  0.6884  4 Y 3.20, 2 Dy 3.41
Y  0.0000  0.5000  0.2636  6 Dy 3.47-3.73, 4 Y 3.48
Y  0.2401  0.2323  0.2270  6 Dy 3.20-3.56, 3 Y 3.21-3.48



(3)
Below is a relaxed structure of TmNb2C, with properties calculated at the PBE level.

## Properties
energy relative to the elements: -6 kJ/mol of formula units
total magnetic moment: 0.00 Bohr magnetons per cell
DOS(E_F): 0.662 states/eV/atom
total energy: -101.699 eV/cell

Cell lengths 3.1724, 3.1724, 25.4366 Å; angles 90.00, 90.00, 120.00 degrees
With the nearest neighbours (Å) after each atom.
Space group R-3m (No. 166, hexagonal axes)
One atom of each set of equivalent atoms:
Tm  0.0000  0.0000  0.0000  2 Nb 3.04, 6 Tm 3.17
Nb  0.0000  0.0000  0.1196  3 C 2.19
C  0.0000  0.0000  0.5000  6 Nb 2.19



(4)
Below is a relaxed structure of BaScOs2O8, with properties calculated at the PBE level.

## Properties
total magnetic moment: 3.04 Bohr magnetons per cell
DOS(E_F): 0.401 states/eV/atom
total energy: -90.219 eV/cell
energy relative to the elements, uncorrected: -1914 kJ/mol of formula units

Cell lengths 5.8529, 5.8529, 7.3756 Å; angles 90.00, 90.00, 120.00 degrees
With the nearest neighbours (Å) after each atom.
Space group P-3 (No. 147)
One atom of each set of equivalent atoms:
Ba  0.0000  0.0000  0.0000  6 O 2.86
Sc  0.0000  0.0000  0.5000  6 O 2.10
Os  0.3333  0.6667  0.7515  4 O 1.81-1.83
O  0.1582  0.8386  0.6813  1 Os 1.83
O  0.3333  0.6667  0.9971  1 Os 1.81



(5)
Below is a relaxed structure of Si2GeF, with properties calculated at the PBE level.

## Properties
total magnetic moment: 0.00 Bohr magnetons per cell
DOS(E_F): 0.451 states/eV/atom
total energy: -71.608 eV/cell
energy relative to the elements, uncorrected: -55 kJ/mol of formula units
excess energy over the best structure of this formula in the dataset: 0.008 eV per atom

Cell lengths 6.1626, 6.1626, 6.1626 Å; angles 90.00, 90.00, 90.00 degrees
With the nearest neighbours (Å) after each atom.
Space group Fm-3m (No. 225)
One atom of each set of equivalent atoms:
Si  0.2500  0.2500  0.2500  4 Ge 2.67, 4 F 2.67
Ge  0.0000  0.0000  0.0000  8 Si 2.67
F  0.0000  0.0000  0.5000  8 Si 2.67



(6)
Below is a relaxed structure of ZrTaTe2, with properties calculated at the PBE level.

## Properties
total magnetic moment: 0.00 Bohr magnetons per cell
DOS(E_F): 0.978 states/eV/atom
total energy: -27.636 eV/cell
energy relative to the elements, uncorrected: -92 kJ/mol of formula units
excess energy over the best structure of this formula in the dataset: 0.173 eV per atom

Cell lengths 3.4817, 3.4817, 7.0321 Å; angles 90.00, 90.00, 90.00 degrees
With the nearest neighbours (Å) after each atom.
Space group P4/mmm (No. 123)
One atom of each set of equivalent atoms:
Zr  0.0000  0.0000  0.0000  8 Te 3.06
Ta  0.0000  0.0000  0.5000  8 Te 2.99
Te  0.5000  0.5000  0.2591  4 Ta 2.99, 4 Zr 3.06



Copy entry 6 word for word.
Below is a relaxed structure of ZrTaTe2, with properties calculated at the PBE level.

## Properties
total magnetic moment: 0.00 Bohr magnetons per cell
DOS(E_F): 0.978 states/eV/atom
total energy: -27.636 eV/cell
energy relative to the elements, uncorrected: -92 kJ/mol of formula units
excess energy over the best structure of this formula in the dataset: 0.173 eV per atom

Cell lengths 3.4817, 3.4817, 7.0321 Å; angles 90.00, 90.00, 90.00 degrees
With the nearest neighbours (Å) after each atom.
Space group P4/mmm (No. 123)
One atom of each set of equivalent atoms:
Zr  0.0000  0.0000  0.0000  8 Te 3.06
Ta  0.0000  0.0000  0.5000  8 Te 2.99
Te  0.5000  0.5000  0.2591  4 Ta 2.99, 4 Zr 3.06



Q: DOS(E_F) of number 6 (ZrTaTe2)?
A: 0.978 states/eV/atom



Q: Which of these has the highest total magnetic moment?
A: BaScOs2O8



Q: Look up the total energy of the fourth one.
A: -90.219 eV/cell